AlRuN3, relaxed, DFT PBE; ΔE_f (raw) = 1170 meV per atom; total magnetic moment = 0.00 μB per formula unit; crystal system = cubic; ρ = 4.93 g/cm3
1.0
3.8539 0.0000 0.0000
0.0000 3.8539 0.0000
0.0000 0.0000 3.8539
Al Ru N
1 1 3
Direct
0.0000 0.0000 0.0000
0.5000 0.5000 0.5000
0.0000 0.5000 0.5000
0.5000 0.0000 0.5000
0.5000 0.5000 0.0000

Al3RuN, relaxed, DFT PBE; ΔE_f (raw) = 880 meV per atom; total magnetic moment = 2.38 μB per formula unit; crystal system = cubic; offset from the most stable computed form = 27.724 kcal/mol of atoms; ρ = 3.13 g/cm3
1.0
4.7047 0.0000 0.0000
0.0000 4.7047 0.0000
0.0000 0.0000 4.7047
Al Ru N
3 1 1
Direct
0.0000 0.0000 0.5000
0.0000 0.5000 0.0000
0.5000 0.0000 0.0000
0.0000 0.0000 0.0000
0.5000 0.5000 0.5000

Al3RuN, relaxed, DFT PBE; ΔE_f (raw) = -323 meV per atom; total magnetic moment = 0.00 μB per formula unit; crystal system = cubic; offset from the most stable computed form = 0.000 kcal/mol of atoms; ρ = 5.27 g/cm3
1.0
3.9528 0.0000 0.0000
0.0000 3.9528 0.0000
0.0000 0.0000 3.9528
Al Ru N
3 1 1
Direct
0.0000 0.0000 0.5000
0.0000 0.5000 0.0000
0.5000 0.0000 0.0000
0.5000 0.5000 0.5000
0.0000 0.0000 0.0000

AlRuSN2, relaxed, DFT PBE; ΔE_f (raw) = 992 meV per atom; total magnetic moment = 1.26 μB per formula unit; crystal system = tetragonal; offset from the most stable computed form = 8.471 kcal/mol of atoms; ρ = 4.89 g/cm3
1.0
3.6752 0.0000 0.0000
0.0000 3.6752 0.0000
0.0000 0.0000 4.7299
Al Ru S N
1 1 1 2
Direct
0.0000 0.0000 0.0000
0.5000 0.5000 0.5000
0.0000 0.0000 0.5000
0.0000 0.5000 0.0000
0.5000 0.0000 0.0000

AlRuSN2, relaxed, DFT PBE; ΔE_f (raw) = 624 meV per atom; total magnetic moment = 0.20 μB per formula unit; crystal system = tetragonal; offset from the most stable computed form = 0.000 kcal/mol of atoms; ρ = 4.30 g/cm3
1.0
3.7768 0.0000 0.0000
0.0000 3.7768 0.0000
0.0000 0.0000 5.0977
Al Ru S N
1 1 1 2
Direct
0.0000 0.0000 0.0000
0.5000 0.5000 0.5000
0.5000 0.5000 0.0000
0.0000 0.5000 0.5000
0.5000 0.0000 0.5000

AlTcRu2N, relaxed, DFT PBE; ΔE_f (raw) = 1461 meV per atom; total magnetic moment = 0.01 μB per formula unit; crystal system = tetragonal; ρ = 7.66 g/cm3
1.0
4.7057 0.0000 0.0000
0.0000 4.7057 0.0000
0.0000 0.0000 3.3395
Al Tc Ru N
1 1 2 1
Direct
0.0000 0.0000 0.0000
0.5000 0.5000 0.5000
0.0000 0.5000 0.0000
0.5000 0.0000 0.0000
0.0000 0.0000 0.5000

AlTeRu2N, relaxed, DFT PBE; ΔE_f (raw) = 2391 meV per atom; total magnetic moment = 4.58 μB per formula unit; crystal system = tetragonal; ρ = 4.75 g/cm3
1.0
4.8752 0.0000 0.0000
0.0000 4.8752 0.0000
0.0000 0.0000 5.4540
Al Te Ru N
1 1 2 1
Direct
0.0000 0.0000 0.0000
0.0000 0.0000 0.5000
0.0000 0.5000 0.5000
0.5000 0.0000 0.5000
0.5000 0.5000 0.0000

AlTe2RuN, relaxed, DFT PBE; ΔE_f (raw) = 721 meV per atom; total magnetic moment = 1.23 μB per formula unit; crystal system = tetragonal; offset from the most stable computed form = 9.537 kcal/mol of atoms; ρ = 6.57 g/cm3
1.0
5.4255 0.0000 0.0000
0.0000 5.4255 0.0000
0.0000 0.0000 3.4125
Al Te Ru N
1 2 1 1
Direct
0.0000 0.0000 0.0000
0.0000 0.5000 0.0000
0.5000 0.0000 0.0000
0.5000 0.5000 0.5000
0.0000 0.0000 0.5000

AlTe2RuN, relaxed, DFT PBE; ΔE_f (raw) = 308 meV per atom; total magnetic moment = 0.00 μB per formula unit; crystal system = tetragonal; offset from the most stable computed form = 0.000 kcal/mol of atoms; ρ = 6.00 g/cm3
1.0
5.4975 0.0000 0.0000
0.0000 5.4975 0.0000
0.0000 0.0000 3.6395
Al Te Ru N
1 2 1 1
Direct
0.0000 0.0000 0.0000
0.0000 0.5000 0.5000
0.5000 0.0000 0.5000
0.5000 0.5000 0.5000
0.5000 0.5000 0.0000

Ti2AlRuN, relaxed, DFT PBE; ΔE_f (raw) = 1104 meV per atom; total magnetic moment = 0.00 μB per formula unit; crystal system = tetragonal; ρ = 4.03 g/cm3
1.0
4.6016 0.0000 0.0000
0.0000 4.6016 0.0000
0.0000 0.0000 4.6227
Ti Al Ru N
2 1 1 1
Direct
0.0000 0.5000 0.0000
0.5000 0.0000 0.0000
0.0000 0.0000 0.5000
0.0000 0.0000 0.0000
0.5000 0.5000 0.5000

AlZnRu2N, relaxed, DFT PBE; ΔE_f (raw) = 1388 meV per atom; total magnetic moment = 0.00 μB per formula unit; crystal system = tetragonal; ρ = 6.70 g/cm3
1.0
4.6999 0.0000 0.0000
0.0000 4.6999 0.0000
0.0000 0.0000 3.4599
Al Zn Ru N
1 1 2 1
Direct
0.0000 0.0000 0.0000
0.5000 0.5000 0.5000
0.0000 0.5000 0.5000
0.5000 0.0000 0.5000
0.5000 0.5000 0.0000

AlZn2RuN, relaxed, DFT PBE; ΔE_f (raw) = 370 meV per atom; total magnetic moment = 0.00 μB per formula unit; crystal system = tetragonal; ρ = 6.46 g/cm3
1.0
4.2065 0.0000 0.0000
0.0000 4.2065 0.0000
0.0000 0.0000 3.9649
Al Zn Ru N
1 2 1 1
Direct
0.0000 0.0000 0.0000
0.0000 0.5000 0.5000
0.5000 0.0000 0.5000
0.5000 0.5000 0.0000
0.5000 0.5000 0.5000

AlS3N, relaxed, DFT PBE; ΔE_f (raw) = 1192 meV per atom; total magnetic moment = 1.47 μB per formula unit; crystal system = cubic; offset from the most stable computed form = 6.606 kcal/mol of atoms; ρ = 2.33 g/cm3
1.0
4.6098 0.0000 0.0000
0.0000 4.6098 0.0000
0.0000 0.0000 4.6098
Al S N
1 3 1
Direct
0.0000 0.0000 0.0000
0.0000 0.0000 0.5000
0.0000 0.5000 0.0000
0.5000 0.0000 0.0000
0.5000 0.5000 0.5000

AlS2N, relaxed, DFT PBE; ΔE_f (raw) = 310 meV per atom; total magnetic moment = 0.00 μB per formula unit; crystal system = trigonal; offset from the most stable computed form = 0.000 kcal/mol of atoms; ρ = 2.60 g/cm3
1.0
1.8434 1.0643 5.6977
-1.8434 1.0643 5.6977
0.0000 -2.1286 5.6977
Al S N
1 2 1
Direct
0.0000 0.0000 0.0000
0.4080 0.4080 0.4080
0.5920 0.5920 0.5920
0.5000 0.5000 0.5000